# 1
A relaxed Zn3CoO4 crystal. Source: the Alexandria database, functional GGA+U.

## Properties
- SG = No. 31
- crystal system = orthorhombic
- DFT total energy (eV per cell) = -78.8

a b c (Å): 6.5740 5.6927 5.2992
angles (deg): 90.00 90.00 90.00
Atoms (fractional coordinates):
Zn  0.0000  0.1672  0.9999
Zn  0.2500  0.3331  0.5000
Zn  0.2500  0.6669  0.0000
Zn  0.5000  0.8328  0.4999
Zn  0.7500  0.3331  0.5000
Zn  0.7500  0.6669  0.0000
Co  0.0000  0.8332  0.5003
Co  0.5000  0.1668  0.0003
O  0.0000  0.1662  0.6202
O  0.0000  0.8337  0.1204
O  0.2502  0.3335  0.1204
O  0.2498  0.6665  0.6204
O  0.5000  0.1663  0.6204
O  0.5000  0.8338  0.1202
O  0.7498  0.3335  0.1204
O  0.7502  0.6665  0.6204

# 2
A relaxed ZnCo2O4 crystal. Source: the Alexandria database, functional GGA+U.

## Properties
- SG = No. 12
- crystal system = monoclinic
- relative energy among the computed polymorphs (eV/atom) = 0.0896

a b c (Å): 7.4626 7.4626 8.4681
angles (deg): 118.51 118.51 22.95
Atoms (fractional coordinates):
Zn  0.1799  0.1799  0.1601
Zn  0.8201  0.8201  0.8399
Co  0.1634  0.1634  0.4944
Co  0.4292  0.4292  0.2521
Co  0.5708  0.5708  0.7479
Co  0.8366  0.8366  0.5056
O  0.0180  0.0180  0.3404
O  0.3139  0.3139  0.6365
O  0.3378  0.3378  0.3554
O  0.3651  0.3651  0.0083
O  0.6349  0.6349  0.9917
O  0.6622  0.6622  0.6446
O  0.6861  0.6861  0.3635
O  0.9820  0.9820  0.6596

# 3
A relaxed ZnCo2O4 crystal. Source: the Alexandria database, functional GGA+U.

## Properties
- SG = No. 57
- crystal system = orthorhombic
- relative energy among the computed polymorphs (eV/atom) = 0.1280

a b c (Å): 2.9359 9.6332 9.4833
angles (deg): 90.00 90.00 90.00
Atoms (fractional coordinates):
Zn  0.2337  0.1463  0.2500
Zn  0.2337  0.3537  0.7500
Zn  0.7663  0.6463  0.2500
Zn  0.7663  0.8537  0.7500
Co  0.2699  0.6149  0.5693
Co  0.2699  0.6149  0.9307
Co  0.2699  0.8851  0.0693
Co  0.2699  0.8851  0.4307
Co  0.7301  0.1149  0.5693
Co  0.7301  0.1149  0.9307
Co  0.7301  0.3851  0.0693
Co  0.7301  0.3851  0.4307
O  0.1578  0.2500  0.0000
O  0.1578  0.2500  0.5000
O  0.2637  0.7027  0.7500
O  0.2637  0.7973  0.2500
O  0.2918  0.5290  0.1120
O  0.2918  0.5290  0.3880
O  0.2918  0.9710  0.6120
O  0.2918  0.9710  0.8880
O  0.7082  0.0290  0.1120
O  0.7082  0.0290  0.3880
O  0.7082  0.4710  0.6120
O  0.7082  0.4710  0.8880
O  0.7363  0.2027  0.7500
O  0.7363  0.2973  0.2500
O  0.8422  0.7500  0.0000
O  0.8422  0.7500  0.5000

# 4
A relaxed Zn2Co2O5 crystal. Source: the Alexandria database, functional GGA+U.

## Properties
- SG = No. 26
- crystal system = orthorhombic
- DFT total energy (eV per cell) = -93.1

a b c (Å): 3.2598 10.5577 6.8825
angles (deg): 90.00 90.00 90.00
Atoms (fractional coordinates):
Zn  0.0000  0.1284  0.0000
Zn  0.0000  0.3672  0.7670
Zn  0.0000  0.6328  0.2670
Zn  0.0000  0.8716  0.5000
Co  0.5000  0.1332  0.5685
Co  0.5000  0.3667  0.2054
Co  0.5000  0.6333  0.7054
Co  0.5000  0.8668  0.0685
O  0.0000  0.1772  0.7059
O  0.0000  0.3160  0.0580
O  0.0000  0.6840  0.5580
O  0.0000  0.8228  0.2059
O  0.5000  0.0397  0.0628
O  0.5000  0.2617  0.4005
O  0.5000  0.4613  0.7164
O  0.5000  0.5387  0.2164
O  0.5000  0.7383  0.9005
O  0.5000  0.9603  0.5628

# 5
A relaxed Zn3CoO3 crystal. Source: the Alexandria database, functional GGA+U.

## Properties
- SG = No. 223
- crystal system = cubic
- DFT total energy (eV per cell) = -57.5

a b c (Å): 5.7238 5.7238 5.7238
angles (deg): 90.00 90.00 90.00
Atoms (fractional coordinates):
Zn  0.0000  0.2500  0.5000
Zn  0.0000  0.7500  0.5000
Zn  0.2500  0.5000  0.0000
Zn  0.5000  0.0000  0.2500
Zn  0.5000  0.0000  0.7500
Zn  0.7500  0.5000  0.0000
Co  0.0000  0.0000  0.0000
Co  0.5000  0.5000  0.5000
O  0.0000  0.5000  0.2500
O  0.0000  0.5000  0.7500
O  0.2500  0.0000  0.5000
O  0.5000  0.2500  0.0000
O  0.5000  0.7500  0.0000
O  0.7500  0.0000  0.5000

# 6
A relaxed Zn4CoO5 crystal. Source: the Alexandria database, functional GGA+U.

## Properties
- SG = No. 156
- crystal system = trigonal
- DFT total energy (eV per cell) = -97.0

a b c (Å): 3.2876 3.2876 26.5123
angles (deg): 90.00 90.00 120.00
Atoms (fractional coordinates):
Zn  0.0000  0.0000  0.0000
Zn  0.0000  0.0000  0.1997
Zn  0.0000  0.0000  0.3993
Zn  0.0000  0.0000  0.5996
Zn  0.0000  0.0000  0.7998
Zn  0.3333  0.6667  0.4995
Zn  0.3333  0.6667  0.6997
Zn  0.3333  0.6667  0.8999
Co  0.3333  0.6667  0.1000
Co  0.3333  0.6667  0.2997
O  0.0000  0.0000  0.1240
O  0.0000  0.0000  0.3237
O  0.0000  0.0000  0.5238
O  0.0000  0.0000  0.7240
O  0.0000  0.0000  0.9242
O  0.3333  0.6667  0.0243
O  0.3333  0.6667  0.2240
O  0.3333  0.6667  0.4237
O  0.3333  0.6667  0.6239
O  0.3333  0.6667  0.8241

# 7
A relaxed ZnCo4O10 crystal. Source: the Alexandria database, functional GGA+U.

## Properties
- SG = No. 12
- crystal system = monoclinic
- DFT total energy (eV per cell) = -79.9

a b c (Å): 7.5702 7.5702 4.8947
angles (deg): 90.35 90.35 141.20
Atoms (fractional coordinates):
Zn  0.0000  0.0000  0.0000
Co  0.2023  0.7977  0.0000
Co  0.3988  0.6012  0.0000
Co  0.6012  0.3988  0.0000
Co  0.7977  0.2023  0.0000
O  0.0644  0.2789  0.8081
O  0.1360  0.5370  0.1928
O  0.2789  0.0644  0.8081
O  0.3609  0.3609  0.1961
O  0.4630  0.8640  0.8072
O  0.5370  0.1360  0.1928
O  0.6391  0.6391  0.8039
O  0.7211  0.9356  0.1919
O  0.8640  0.4630  0.8072
O  0.9356  0.7211  0.1919

# 8
A relaxed ZnCo2O4 crystal. Source: the Alexandria database, functional GGA+U.

## Properties
- SG = No. 63
- crystal system = orthorhombic
- relative energy among the computed polymorphs (eV/atom) = 0.1435

a b c (Å): 5.0233 5.0233 9.5073
angles (deg): 90.00 90.00 146.19
Atoms (fractional coordinates):
Zn  0.1065  0.8935  0.7500
Zn  0.8935  0.1065  0.2500
Co  0.3662  0.6338  0.5691
Co  0.3662  0.6338  0.9309
Co  0.6338  0.3662  0.0691
Co  0.6338  0.3662  0.4309
O  0.0000  0.0000  0.0000
O  0.0000  0.0000  0.5000
O  0.2733  0.7267  0.1111
O  0.2733  0.7267  0.3889
O  0.4581  0.5419  0.7500
O  0.5419  0.4581  0.2500
O  0.7267  0.2733  0.6111
O  0.7267  0.2733  0.8889

V: 198.3; 160.6; 268.2; 236.9; 187.5; 248.2; 175.7; 133.5 (Å³ per cell)